(1)
The following is a PBE calculation of an optimized crystal structure of Sc2UBiO8, from the Alexandria database.

Cell and atoms, written as POSCAR:
```
Sc2UBiO8
1.0
3.438 -3.520 0.000
3.438 3.520 0.000
0.000 0.000 6.853
Sc U Bi O
2 1 1 8
Direct
0.000 0.000 0.250
0.000 0.000 0.750
0.500 0.500 0.000
0.500 0.500 0.500
0.179 0.179 0.500
0.199 0.199 0.000
0.302 0.698 0.232
0.302 0.698 0.768
0.698 0.302 0.232
0.698 0.302 0.768
0.801 0.801 0.000
0.821 0.821 0.500
```

Calculated values
SG: Cmmm, No. 65
Density of states at the Fermi level, states/eV per atom: 0.238
Formation energy without anion corrections, eV per formula unit: -32.7


(2)
The following is a PBE calculation of an optimized crystal structure of Dy2TmTl9, from the Alexandria database.

Cell and atoms, written as POSCAR:
```
Dy2TmTl9
1.0
4.759 0.000 0.000
0.000 4.759 0.000
0.000 0.000 14.278
Dy Tm Tl
2 1 9
Direct
0.000 0.000 0.167
0.000 0.000 0.833
0.000 0.000 0.500
0.000 0.500 0.000
0.000 0.500 0.334
0.000 0.500 0.666
0.500 0.000 0.000
0.500 0.000 0.334
0.500 0.000 0.666
0.500 0.500 0.167
0.500 0.500 0.500
0.500 0.500 0.833
```

Calculated values
Formation enthalpy at 0 K, eV per atom: -0.217
SG: P4/mmm, No. 123
Density of states at the Fermi level, states/eV per atom: 0.221


(3)
The following is a PBE calculation of an optimized crystal structure of Rb2CrSnB, from the Alexandria database.

Cell and atoms, written as POSCAR:
```
Rb2CrSnB
1.0
7.046 0.000 0.000
0.000 7.046 0.000
0.000 0.000 5.205
Rb Cr Sn B
2 1 1 1
Direct
0.000 0.500 0.000
0.500 0.000 0.000
0.000 0.000 0.500
0.000 0.000 0.000
0.500 0.500 0.500
```

Calculated values
Formation enthalpy at 0 K, eV per atom: 1.408
SG: P4/mmm, No. 123
Density of states at the Fermi level, states/eV per atom: 0.977


(4)
The following is a PBE calculation of an optimized crystal structure of TePAu2, from the Alexandria database.

Cell and atoms, written as POSCAR:
```
TePAu2
1.0
-2.009 2.009 5.307
2.009 -2.009 5.307
2.009 2.009 -5.307
Te P Au
1 1 2
Direct
0.000 0.000 0.000
0.500 0.500 0.000
0.264 0.264 0.000
0.736 0.736 0.000
```

Calculated values
SG: I4/mmm, No. 139
Density of states at the Fermi level, states/eV per atom: 0.380
Formation energy without anion corrections, eV per formula unit: 0.6


(5)
The following is a PBE calculation of an optimized crystal structure of YP2IrS, from the Alexandria database.

Cell and atoms, written as POSCAR:
```
YP2IrS
1.0
4.519 0.000 0.000
0.000 4.519 0.000
0.000 0.000 5.096
Y P Ir S
1 2 1 1
Direct
0.000 0.000 0.000
0.000 0.500 0.500
0.500 0.000 0.500
0.500 0.500 0.500
0.500 0.500 0.000
```

Calculated values
SG: P4/mmm, No. 123
Density of states at the Fermi level, states/eV per atom: 0.701
Formation energy without anion corrections, eV per formula unit: -0.8


(6)
The following is a PBE calculation of an optimized crystal structure of Tb3SnGe2, from the Alexandria database.

Cell and atoms, written as POSCAR:
```
Tb3SnGe2
1.0
3.934 2.271 6.130
-3.934 2.271 6.130
0.000 -4.542 6.130
Tb Sn Ge
6 2 4
Direct
0.065 0.750 0.435
0.250 0.565 0.935
0.435 0.065 0.750
0.565 0.935 0.250
0.750 0.435 0.065
0.935 0.250 0.565
0.000 0.000 0.000
0.500 0.500 0.500
0.161 0.161 0.161
0.339 0.339 0.339
0.661 0.661 0.661
0.839 0.839 0.839
```

Calculated values
Formation enthalpy at 0 K, eV per atom: -0.722
SG: R-3c, No. 167
Density of states at the Fermi level, states/eV per atom: 0.450


| no. | total moment (μB/atom) | density (Mg/m³) |
| --- | --- | --- |
| 1 | 0.000 | 6.7 |
| 2 | 0.000 | 12.0 |
| 3 | 1.026 | 2.3 |
| 4 | 0.000 | 10.7 |
| 5 | 0.000 | 6.0 |
| 6 | 0.000 | 7.5 |